(1)
The following is a DFT calculation (PBE) of a relaxed structure of TbPmTh2Rh4.

Unit cell a=5.767 b=5.767 c=7.018 alpha=115.87 beta=115.87 gamma=86.46
Fractional positions:
Rh: 0.417 0.014 0.000
Rh: 0.639 0.639 0.468
Rh: 0.172 0.172 0.532
Rh: 0.014 0.417 0.000
Tb: 0.503 0.503 0.000
Pm: 0.932 0.932 0.000
Th: 0.160 0.660 0.500
Th: 0.660 0.160 0.500

Results
calculated total energy = -7.463 eV/atom
spin magnetization = 0.00 μB/cell
calculated volume = 186.6 Å³/f.u.
SG = Fmm2
formation energy from the elements = -0.76 eV per atom

***

(2)
The following is a DFT calculation (PBE) of a relaxed structure of Gd3RuPb.

Unit cell a=5.336 b=5.336 c=5.336 alpha=90.00 beta=90.00 gamma=90.00
Fractional positions:
Pb: 0.500 0.500 0.500
Gd: 0.000 0.000 0.500
Gd: 0.500 0.000 0.000
Ru: 0.000 0.000 0.000
Gd: 0.000 0.500 0.000

Results
calculated total energy = -11.331 eV/atom
spin magnetization = 21.57 μB/cell
calculated volume = 151.9 Å³/f.u.
SG = Pm-3m
formation energy from the elements = -0.29 eV per atom